1.
Compound: CsU2NiSe4
Source: the Alexandria database
Functional: GGA-PBE
Structure: relaxed

Output
Raw formation energy (meV/atom): -1023
Raw total energy (eV/atom): -6.416
Total magnetic moment (μB/f.u.): 5.00

Geometry as POSCAR:
```
CsU2NiSe4
1.0
4.0832 0.0000 0.0000
-2.0416 7.4022 0.0000
0.0000 0.0000 14.2277
U Se Cs Ni
4 8 2 2
Cartesian
0.0000 5.4025 13.3610
2.0416 1.9996 6.2471
0.0000 5.4025 7.9806
2.0416 1.9996 0.8667
0.0000 3.8592 1.5767
2.0416 1.2409 3.5569
2.0416 3.5430 8.6906
0.0000 3.8592 5.5371
0.0000 6.1612 10.6708
0.0000 0.0000 0.0000
2.0416 3.5430 12.6510
0.0000 0.0000 7.1139
2.0416 5.9151 3.5569
0.0000 1.4871 10.6708
2.0416 4.8912 10.6708
0.0000 2.5110 3.5569
```

***

2.
Compound: ZrInN3
Source: the Alexandria database
Functional: GGA-PBE
Structure: relaxed

Output
Raw formation energy (meV/atom): 637
Raw total energy (eV/atom): -6.616
Total magnetic moment (μB/f.u.): 2.65

Geometry as POSCAR:
```
ZrInN3
1.0
4.2565 0.0000 0.0000
0.0000 4.2565 0.0000
0.0000 0.0000 4.2565
N In Zr
3 1 1
Cartesian
2.1282 0.0000 0.0000
0.0000 0.0000 2.1282
0.0000 2.1282 0.0000
2.1282 2.1282 2.1282
0.0000 0.0000 0.0000
```

***

3.
Compound: KPr2Tm3Te6
Source: the Alexandria database
Functional: GGA-PBE
Structure: relaxed

Output
Raw formation energy (meV/atom): -1319
Raw total energy (eV/atom): -4.896
Total magnetic moment (μB/f.u.): 0.00

Geometry as POSCAR:
```
KPr2Tm3Te6
1.0
4.3610 0.0000 0.0000
0.0000 9.1594 0.1510
-2.1805 -2.8209 9.4468
Te Tm Pr K
6 3 2 1
Cartesian
0.0000 6.6163 6.2884
0.0000 1.7654 6.4845
2.1805 -0.2778 3.3094
2.1805 4.5731 3.1134
0.0000 6.6837 0.1358
2.1805 -0.3453 9.4620
2.1805 -0.3190 6.3619
2.1805 4.5797 0.0755
0.0000 6.6575 3.2360
2.1805 4.0921 6.2584
0.0000 2.2463 3.3394
2.1805 0.0000 0.0000
```

***

4.
Compound: BeAlW2
Source: the Alexandria database
Functional: GGA-PBE
Structure: relaxed

Output
Raw total energy (eV/atom): -8.214
Energy of formation from the pure elements (eV/atom): 0.129
Total magnetic moment (μB/f.u.): 0.00

Geometry as POSCAR:
```
BeAlW2
1.0
-0.5845 3.5788 1.8856
-1.1628 -1.2761 2.0615
4.0293 -1.1150 3.3652
W Al Be
2 1 1
Cartesian
2.8546 -2.3638 5.3711
1.4452 -1.2229 2.7690
0.4244 1.1916 2.2995
1.8577 -0.0039 5.0128
```

***

5.
Compound: BaSr3Ir
Source: the Alexandria database
Functional: GGA-PBE
Structure: relaxed

Output
Raw total energy (eV/atom): -3.214
Energy of formation from the pure elements (eV/atom): -0.049
Total magnetic moment (μB/f.u.): 0.00

Geometry as POSCAR:
```
BaSr3Ir
1.0
6.8627 -4.5165 0.0000
6.8627 4.5165 0.0000
0.0000 0.0000 7.2020
Ir Ba Sr
2 2 6
Cartesian
6.8627 2.0258 5.4015
6.8627 -2.0258 1.8005
6.8627 -0.9892 5.4015
6.8627 0.9892 1.8005
4.0073 -1.6547 1.8005
9.7182 1.6547 5.4015
0.0000 0.0000 0.0000
4.0073 1.6547 5.4015
0.0000 0.0000 3.6010
9.7182 -1.6547 1.8005
```

***

6.
Compound: NbAgGe3
Source: the Alexandria database
Functional: GGA-PBE
Structure: relaxed

Output
Raw total energy (eV/atom): -4.821
Energy of formation from the pure elements (eV/atom): 0.534
Total magnetic moment (μB/f.u.): 0.00

Geometry as POSCAR:
```
NbAgGe3
1.0
5.0251 0.0000 0.0000
0.0000 5.0251 0.0000
0.0000 0.0000 5.0251
Ge Ag Nb
3 1 1
Cartesian
0.0000 0.0000 2.5125
0.0000 2.5125 0.0000
2.5125 0.0000 0.0000
2.5125 2.5125 2.5125
0.0000 0.0000 0.0000
```

***

7.
Compound: HfIrSN2
Source: the Alexandria database
Functional: GGA-PBE
Structure: relaxed

Output
Raw formation energy (meV/atom): 572
Raw total energy (eV/atom): -7.346
Total magnetic moment (μB/f.u.): 0.00

Geometry as POSCAR:
```
HfIrSN2
1.0
-0.3661 -2.2486 3.0974
-2.3796 -2.3034 -1.9534
3.7516 -2.6316 -1.4671
S N Ir Hf
1 2 1 1
Cartesian
1.8758 -1.3158 -0.7335
-1.1898 -1.1517 -0.9767
-0.1830 -1.1243 1.5487
0.0000 0.0000 0.0000
0.5030 -3.5918 -0.1616
```

***

8.
Compound: LaNiAg2
Source: the Alexandria database
Functional: GGA-PBE
Structure: relaxed

Output
Raw total energy (eV/atom): -4.149
Energy of formation from the pure elements (eV/atom): -0.046
Total magnetic moment (μB/f.u.): 0.00

Geometry as POSCAR:
```
LaNiAg2
1.0
-0.7678 3.0051 -1.4005
0.1979 -1.4749 -3.2732
-6.5214 -1.5290 0.2946
Ag Ni La
2 1 1
Cartesian
-6.4393 -1.5098 0.2909
-1.5789 0.4617 -2.2784
-5.3940 -0.4328 -2.1060
-3.4613 -0.8115 0.1564
```

***

9.
Compound: CeH8Pt2Rh3
Source: the Alexandria database
Functional: GGA-PBE
Structure: relaxed

Output
Raw total energy (eV/atom): -4.966
Total magnetic moment (μB/f.u.): 0.82

Geometry as POSCAR:
```
CeH8Pt2Rh3
1.0
-0.5651 -4.2050 -3.8289
3.4794 -0.2282 -4.5281
3.9759 -4.1042 -0.3447
Rh H Pt Ce
3 8 2 1
Cartesian
3.6308 -6.1286 -2.3356
5.6256 -4.1673 -2.6805
5.3468 -6.2412 -4.5689
5.4125 -6.6171 -6.3273
3.0770 -2.5003 -4.7227
2.8762 -3.9948 -6.0835
3.6014 -6.7283 -4.1067
5.9095 -4.4588 -4.5058
3.9239 -4.3286 -1.9217
1.6396 -3.9137 -4.4742
1.5786 -2.0085 -2.2924
2.7655 -3.0461 -1.3281
3.4295 -4.2551 -4.3635
3.9866 -5.3706 -7.4857
```

***

10.
Compound: ScBiP2O
Source: the Alexandria database
Functional: GGA-PBE
Structure: relaxed

Output
Raw formation energy (meV/atom): 202
Raw total energy (eV/atom): -4.996
Total magnetic moment (μB/f.u.): 0.00

Geometry as POSCAR:
```
ScBiP2O
1.0
5.1765 0.0000 0.0000
0.0000 5.1765 0.0000
0.0000 0.0000 4.1613
P Bi Sc O
2 1 1 1
Cartesian
0.0000 2.5883 0.0000
2.5883 0.0000 0.0000
0.0000 0.0000 0.0000
2.5883 2.5883 2.0807
0.0000 0.0000 2.0807
```

***

11.
Compound: MnCoS4
Source: the Alexandria database
Functional: GGA-PBE
Structure: relaxed

Output
Raw formation energy (meV/atom): -453
Raw total energy (eV/atom): -5.917
Total magnetic moment (μB/f.u.): 0.00

Geometry as POSCAR:
```
MnCoS4
1.0
-4.0072 1.0617 1.6901
-2.6998 -1.0219 -5.7593
0.3069 -5.0760 3.9162
S Co Mn
8 2 2
Cartesian
-2.9579 -1.5524 -3.6047
-1.9670 -0.9463 -0.5736
-3.4422 -3.4839 3.4517
-1.4688 -3.6010 1.2468
-3.2454 -1.0134 1.3381
-4.4331 -4.0900 0.4206
-4.9314 -1.4353 -1.3998
-3.1548 -4.0229 -1.4911
-1.8502 -2.0072 2.8032
-1.1965 -3.0490 -0.9216
0.0000 0.0000 0.0000
-3.3535 0.0199 -2.0346
```

***

12.
Compound: Mg2IrPt
Source: the Alexandria database
Functional: GGA-PBE
Structure: relaxed

Output
Raw total energy (eV/atom): -4.911
Energy of formation from the pure elements (eV/atom): -0.388
Total magnetic moment (μB/f.u.): 0.00

Geometry as POSCAR:
```
Mg2IrPt
1.0
4.6286 -0.0069 -0.0027
3.7086 2.7695 -0.0027
0.9126 0.3024 4.9500
Mg Pt Ir
2 1 1
Cartesian
8.3336 2.7614 0.0147
4.6285 1.5337 2.4521
6.9373 2.2987 3.7084
2.3124 0.7662 1.2361
```

***

Going through the records in order, we get density of states at the Fermi level values of 26.98, 2.43, 3.79, 1.92, 10.03, 2.56, 5.05, 2.33, 8.01, 2.70, 2.15, 2.85 states/eV/cell.